[1]
Material: LiSmMgMn
Method: DFT, PBE
State: optimized geometry

Cell: 4.9777 4.9777 4.9777 Å, 60.00 60.00 60.00°
Last column: magnetic moment on the atom in μB.
Element x y z (fractional)
Mn (0.5000, 0.5000, 0.5000)  3.83
Li (0.0000, 0.0000, 0.0000)  -0.02
Mg (0.7500, 0.7500, 0.7500)  0.00
Sm (0.2500, 0.2500, 0.2500)  0.07

Total moment: 4.36 μB/f.u.
ΔE_f: 0.65 eV per formula unit
Density of states at the Fermi level: 4.20 states/eV/cell
SG: F-43m

***

[2]
Material: KCaAu2
Method: DFT, PBE
State: optimized geometry

Cell: 3.7781 3.7781 8.8407 Å, 90.00 90.00 90.01°
Element x y z (fractional)
Au (0.5000, 0.5000, 0.2255)
Ca (0.0000, 0.0000, 0.3892)
K (0.5000, 0.5000, 0.8256)
Au (0.0000, 0.0000, 0.0597)

Total moment: 0.00 μB/f.u.
ΔE_f: -1.23 eV per formula unit
Density of states at the Fermi level: 1.39 states/eV/cell
SG: P4mm

***

[3]
Material: CuReMo2H
Method: DFT, PBE
State: optimized geometry

Cell: 3.9955 3.9955 3.7698 Å, 90.00 90.00 90.00°
Element x y z (fractional)
Re (0.5000, 0.5000, 0.5000)
Mo (0.0000, 0.5000, 0.0000)
Cu (0.0000, 0.0000, 0.5000)
Mo (0.5000, 0.0000, 0.0000)
H (0.0000, 0.0000, 0.0000)

Total moment: 0.00 μB/f.u.
Density of states at the Fermi level: 2.34 states/eV/cell
SG: P4/mmm

***

[4]
Material: Pr7Er5
Method: DFT, PBE
State: optimized geometry

Cell: 5.8297 5.6941 14.8762 Å, 101.68 90.00 120.79°
Element x y z (fractional)
Er (0.6206, 0.2411, 0.8004)
Pr (0.3160, 0.6321, 0.9182)
Er (0.8582, 0.7165, 0.5592)
Pr (0.5000, 0.0000, 0.5000)
Pr (0.9555, 0.9109, 0.7871)
Pr (0.0445, 0.0891, 0.2129)
Er (0.3794, 0.7589, 0.1996)
Er (0.1418, 0.2835, 0.4408)
Pr (0.7635, 0.5271, 0.3299)
Er (0.0000, 0.0000, 0.0000)
Pr (0.6839, 0.3679, 0.0818)
Pr (0.2364, 0.4729, 0.6701)

Total moment: 0.00 μB/f.u.
ΔE_f: 1.90 eV per formula unit
Density of states at the Fermi level: 18.61 states/eV/cell
SG: C2/m

***

[5]
Material: CuBSbTe2
Method: DFT, PBE
State: optimized geometry

Cell: 4.8484 4.8484 4.7947 Å, 90.00 90.00 90.00°
Element x y z (fractional)
Te (0.0000, 0.5000, 0.0000)
Te (0.5000, 0.0000, 0.0000)
B (0.0000, 0.0000, 0.0000)
Cu (0.5000, 0.5000, 0.5000)
Sb (0.0000, 0.0000, 0.5000)

Total moment: 0.00 μB/f.u.
Formation energy (no corrections): 905 meV/atom
Density of states at the Fermi level: 3.32 states/eV/cell
SG: P4/mmm

***

[6]
Material: ZrFe2PdI
Method: DFT, PBE
State: optimized geometry

Cell: 4.6596 5.5241 4.6596 Å, 90.00 90.00 90.00°
Last column: magnetic moment on the atom in μB.
Element x y z (fractional)
I (0.0000, 0.5000, 0.0000)  0.02
Fe (0.5000, 0.0000, 0.0000)  2.27
Zr (0.0000, 0.0000, 0.0000)  -0.47
Pd (0.5000, 0.5000, 0.5000)  0.03
Fe (0.0000, 0.0000, 0.5000)  2.23

Total moment: 4.06 μB/f.u.
Formation energy (no corrections): 1308 meV/atom
Density of states at the Fermi level: 5.63 states/eV/cell
SG: P4/mmm

***

no.,DFT total energy (eV per atom)
1,-4.19
2,-2.72
3,-8.11
4,-4.53
5,-3.33
6,-5.14